# 1
# NdEr3 PBE optimized geometry
data_NdEr3
_chemical_formula_sum 'Nd1 Er3'
_symmetry_space_group_name_H-M 'P m -3 m'
_symmetry_Int_Tables_number 221
_symmetry_space_group_name_Hall '-P 4 2 3'
_cell_length_a 5.0196
_cell_length_b 5.0196
_cell_length_c 5.0196
_cell_angle_alpha 90.00
_cell_angle_beta 90.00
_cell_angle_gamma 90.00
loop_
_atom_site_label
_atom_site_fract_x
_atom_site_fract_y
_atom_site_fract_z
Nd1 0.0000 0.0000 0.0000
Er1 0.0000 0.5000 0.5000
# E_form (meV/atom): 24.9
# Energy (eV/cell): -18.357

***

# 2
# Nd5Er4 PBE optimized geometry
data_Nd5Er4
_chemical_formula_sum 'Nd10 Er8'
_symmetry_space_group_name_H-M 'I 4/m m m'
_symmetry_Int_Tables_number 139
_symmetry_space_group_name_Hall '-I 4 2'
_cell_length_a 10.8275
_cell_length_b 10.8275
_cell_length_c 5.0735
_cell_angle_alpha 90.00
_cell_angle_beta 90.00
_cell_angle_gamma 90.00
loop_
_atom_site_label
_atom_site_fract_x
_atom_site_fract_y
_atom_site_fract_z
Nd1 0.0000 0.0000 0.0000
Nd2 0.0000 0.3306 0.0000
Er1 0.1667 0.1667 0.5000
# E_form (meV/atom): 19.1
# Energy (eV/cell): -83.837

***

# 3
# Nd2Er PBE optimized geometry
data_Nd2Er
_chemical_formula_sum 'Nd4 Er2'
_symmetry_space_group_name_H-M 'I 4/m m m'
_symmetry_Int_Tables_number 139
_symmetry_space_group_name_Hall '-I 4 2'
_cell_length_a 3.6311
_cell_length_b 3.6311
_cell_length_c 15.3393
_cell_angle_alpha 90.00
_cell_angle_beta 90.00
_cell_angle_gamma 90.00
loop_
_atom_site_label
_atom_site_fract_x
_atom_site_fract_y
_atom_site_fract_z
Nd1 0.0000 0.0000 0.1645
Er1 0.0000 0.0000 0.5000
# E_form (meV/atom): 24.2
# Energy (eV/cell): -28.052

***

# 4
# Nd2Er3 PBE optimized geometry
data_Nd2Er3
_chemical_formula_sum 'Nd4 Er6'
_symmetry_space_group_name_H-M 'C 1 2/m 1'
_symmetry_Int_Tables_number 12
_cell_length_a 11.2960
_cell_length_b 5.0532
_cell_length_c 7.9851
_cell_angle_alpha 90.00
_cell_angle_beta 134.80
_cell_angle_gamma 90.00
loop_
_symmetry_equiv_pos_as_xyz
'x,y,z'
'-x,-y,-z'
'-x,y,-z'
'x,-y,z'
'x+1/2,y+1/2,z'
'-x+1/2,-y+1/2,-z'
'-x+1/2,y+1/2,-z'
'x+1/2,-y+1/2,z'
loop_
_atom_site_label
_atom_site_fract_x
_atom_site_fract_y
_atom_site_fract_z
Nd1 0.2017 0.0000 0.3006
Er1 0.0000 0.0000 0.5000
Er2 0.1017 0.5000 0.9019
# E_form (meV/atom): 22.1
# Energy (eV/cell): -46.228

***

# 5
# NdEr6 PBE optimized geometry
data_NdEr6
_chemical_formula_sum 'Nd2 Er12'
_symmetry_space_group_name_H-M 'I m -3 m'
_symmetry_Int_Tables_number 229
_symmetry_space_group_name_Hall '-I 4 2 3'
_cell_length_a 8.0732
_cell_length_b 8.0732
_cell_length_c 8.0732
_cell_angle_alpha 90.00
_cell_angle_beta 90.00
_cell_angle_gamma 90.00
loop_
_atom_site_label
_atom_site_fract_x
_atom_site_fract_y
_atom_site_fract_z
Nd1 0.0000 0.0000 0.0000
Er1 0.0000 0.2500 0.5000
# E_form (meV/atom): 1463.5
# Energy (eV/cell): -43.801

***

# 6
# Nd4Er3 PBE optimized geometry
data_Nd4Er3
_chemical_formula_sum 'Nd8 Er6'
_symmetry_space_group_name_H-M 'C 1 2/m 1'
_symmetry_Int_Tables_number 12
_cell_length_a 11.3583
_cell_length_b 5.1002
_cell_length_c 8.0931
_cell_angle_alpha 90.00
_cell_angle_beta 98.14
_cell_angle_gamma 90.00
loop_
_symmetry_equiv_pos_as_xyz
'x,y,z'
'-x,-y,-z'
'-x,y,-z'
'x,-y,z'
'x+1/2,y+1/2,z'
'-x+1/2,-y+1/2,-z'
'-x+1/2,y+1/2,-z'
'x+1/2,-y+1/2,z'
loop_
_atom_site_label
_atom_site_fract_x
_atom_site_fract_y
_atom_site_fract_z
Nd1 0.1421 0.0000 0.4262
Nd2 0.2141 0.5000 0.1409
Er1 0.0000 0.0000 0.0000
Er2 0.0709 0.5000 0.7141
# E_form (meV/atom): 17.8
# Energy (eV/cell): -65.271

***

# 7
# Nd7Er2 PBE optimized geometry
data_Nd7Er2
_chemical_formula_sum 'Nd7 Er2'
_symmetry_space_group_name_H-M 'P -6 2 m'
_symmetry_Int_Tables_number 189
_symmetry_space_group_name_Hall 'P -6 -2'
_cell_length_a 9.9758
_cell_length_b 9.9758
_cell_length_c 3.5742
_cell_angle_alpha 90.00
_cell_angle_beta 90.00
_cell_angle_gamma 120.00
loop_
_atom_site_label
_atom_site_fract_x
_atom_site_fract_y
_atom_site_fract_z
Nd1 0.0000 0.0000 0.0000
Nd2 0.0000 0.3085 0.5000
Nd3 0.0000 0.6375 0.0000
Er1 0.3333 0.6667 0.5000
# E_form (meV/atom): 39.7
# Energy (eV/cell): -42.143

***

# 8
# Nd7Er PBE optimized geometry
data_Nd7Er
_chemical_formula_sum 'Nd28 Er4'
_symmetry_space_group_name_H-M 'F m -3 m'
_symmetry_Int_Tables_number 225
_symmetry_space_group_name_Hall '-F 4 2 3'
_cell_length_a 10.3410
_cell_length_b 10.3410
_cell_length_c 10.3410
_cell_angle_alpha 90.00
_cell_angle_beta 90.00
_cell_angle_gamma 90.00
loop_
_atom_site_label
_atom_site_fract_x
_atom_site_fract_y
_atom_site_fract_z
Nd1 0.0000 0.0000 0.0000
Nd2 0.0000 0.2500 0.2500
Er1 0.0000 0.0000 0.5000
# E_form (meV/atom): 8.7
# Energy (eV/cell): -151.474